(1)
A PBEsol-optimized structure of BaCrPb2, computed with meta-GGA SCAN.

Summary:
DFT formation energy	0.00	eV per atom
total magnetic moment	4.824	μB per formula unit

extended XYZ file:
```
4
Lattice="-2.0394 -2.9789 1.4905 3.3308 -1.8421 0.8758 0.0702 3.4637 7.0187" Properties=species:S:1:pos:R:3 pbc="T T T"
Ba 0.0358 1.7679 3.5824
Cr 0.7035 0.4445 6.9685
Pb 0.0676 3.3381 6.7642
Pb 0.6598 -1.7123 2.5979
```


(2)
A PBEsol-optimized structure of BaCrPb2, computed with meta-GGA SCAN.

Summary:
DFT formation energy	-0.07	eV per atom
total magnetic moment	4.471	μB per formula unit

extended XYZ file:
```
4
Lattice="4.8621 0.0000 0.0000 0.0000 4.8621 0.0000 0.0000 0.0000 4.9226" Properties=species:S:1:pos:R:3 pbc="T T T"
Ba 2.4310 2.4310 2.4613
Cr 0.0000 0.0000 2.4613
Pb 0.0000 2.4310 0.0000
Pb 2.4310 0.0000 0.0000
```


(3)
A PBEsol-optimized structure of BaCrPb2, computed with meta-GGA SCAN.

Summary:
DFT formation energy	-0.30	eV per atom
total magnetic moment	4.459	μB per formula unit

extended XYZ file:
```
4
Lattice="-3.1560 0.8887 3.4254 3.5428 -3.1186 0.7914 2.2920 6.3332 0.4686" Properties=species:S:1:pos:R:3 pbc="T T T"
Ba 1.1460 3.1666 0.2343
Cr -1.5780 0.4444 1.7127
Pb 1.4782 4.3127 3.5250
Pb 1.2005 -0.2094 1.1605
```


(4)
A PBEsol-optimized structure of BaCr3Pt, computed with meta-GGA SCAN.

Summary:
DFT formation energy	0.39	eV per atom
total magnetic moment	12.853	μB per formula unit

extended XYZ file:
```
5
Lattice="4.9691 0.0000 0.0000 0.0000 4.9691 0.0000 0.0000 0.0000 4.9691" Properties=species:S:1:pos:R:3 pbc="T T T"
Cr 0.0000 2.4845 0.0000
Cr 0.0000 0.0000 2.4845
Cr 2.4845 0.0000 0.0000
Ba 2.4845 2.4845 2.4845
Pt 0.0000 0.0000 0.0000
```


(5)
A PBEsol-optimized structure of Ba2CrPt, computed with meta-GGA SCAN.

Summary:
DFT formation energy	-0.21	eV per atom
total magnetic moment	4.223	μB per formula unit

extended XYZ file:
```
4
Lattice="-1.1825 -1.1701 -4.0172 -3.6815 -2.2066 1.7264 -1.3749 7.5750 0.5514" Properties=species:S:1:pos:R:3 pbc="T T T"
Ba -0.0043 0.0066 -0.0007
Ba -2.5396 2.4277 -2.3126
Cr -3.0385 -0.7505 -1.2400
Pt -3.0885 0.8262 0.6685
```


(6)
A PBEsol-optimized structure of BaCr2Pt, computed with meta-GGA SCAN.

Summary:
DFT formation energy	0.11	eV per atom
total magnetic moment	0.273	μB per formula unit

extended XYZ file:
```
4
Lattice="3.1422 0.0000 0.0000 0.0000 3.1422 0.0000 0.0000 0.0000 7.7364" Properties=species:S:1:pos:R:3 pbc="T T T"
Ba 1.5711 1.5711 5.7139
Cr 0.0000 0.0000 0.6935
Cr 1.5711 1.5711 1.8372
Pt 0.0000 0.0000 3.3601
```


Q: What is the DFT formation energy in the fifth record?
A: -0.21 eV per atom


Q: Which formula does entry 6 have?
A: BaCr2Pt


Q: Which value of total magnetic moment does entry 1 give?
A: 4.824 μB per formula unit